1.
# LaNiW2 PBEsol relaxed
# - formation energy from the elements (eV per atom) = 0.577
# - distance to the lowest polymorph of the same formula (eV/f.u.) = 0.000
data_LaNiW2
_cell_length_a 2.7905
_cell_length_b 3.4430
_cell_length_c 7.4717
_cell_angle_alpha 90.00
_cell_angle_beta 90.00
_cell_angle_gamma 90.00
_symmetry_space_group_name_H-M 'P m m m'
_symmetry_Int_Tables_number 47
loop_
_symmetry_equiv_pos_as_xyz
'x,y,z'
'-x,-y,-z'
'-x,-y,z'
'x,y,-z'
'x,-y,-z'
'-x,y,z'
'-x,y,-z'
'x,-y,z'
loop_
_atom_site_label
_atom_site_type_symbol
_atom_site_fract_x
_atom_site_fract_y
_atom_site_fract_z
La1 La 0.0000 0.0000 0.0000
Ni1 Ni 0.0000 0.0000 0.5000
W1 W 0.5000 0.5000 0.3272

2.
# CaZrFe PBEsol relaxed
# - formation energy from the elements (eV per atom) = 1.138
# - distance to the lowest polymorph of the same formula (eV/f.u.) = 0.000
data_CaZrFe
_cell_length_a 6.3581
_cell_length_b 6.3581
_cell_length_c 6.3581
_cell_angle_alpha 90.00
_cell_angle_beta 90.00
_cell_angle_gamma 90.00
_symmetry_space_group_name_H-M 'F -4 3 m'
_symmetry_Int_Tables_number 216
_symmetry_space_group_name_Hall 'F -4 2 3'
loop_
_atom_site_label
_atom_site_type_symbol
_atom_site_fract_x
_atom_site_fract_y
_atom_site_fract_z
Ca1 Ca 0.0000 0.0000 0.0000
Zr1 Zr 0.2500 0.2500 0.7500
Fe1 Fe 0.0000 0.0000 0.5000

3.
# Ca2CdHg PBEsol relaxed
# - formation energy from the elements (eV per atom) = -0.492
# - distance to the lowest polymorph of the same formula (eV/f.u.) = 0.000
data_Ca2CdHg
_cell_length_a 3.7352
_cell_length_b 3.7352
_cell_length_c 7.4796
_cell_angle_alpha 90.00
_cell_angle_beta 90.00
_cell_angle_gamma 90.00
_symmetry_space_group_name_H-M 'P 4/m m m'
_symmetry_Int_Tables_number 123
_symmetry_space_group_name_Hall '-P 4 2'
loop_
_atom_site_label
_atom_site_type_symbol
_atom_site_fract_x
_atom_site_fract_y
_atom_site_fract_z
Ca1 Ca 0.0000 0.0000 0.2438
Cd1 Cd 0.5000 0.5000 0.5000
Hg1 Hg 0.5000 0.5000 0.0000

4.
# HfZnW2Br PBEsol relaxed
# - ΔE_f (raw) (eV/atom) = 1.69
data_HfZnW2Br
_cell_length_a 4.5639
_cell_length_b 4.5639
_cell_length_c 4.7729
_cell_angle_alpha 90.00
_cell_angle_beta 90.00
_cell_angle_gamma 90.00
_symmetry_space_group_name_H-M 'P 4/m m m'
_symmetry_Int_Tables_number 123
_symmetry_space_group_name_Hall '-P 4 2'
loop_
_atom_site_label
_atom_site_type_symbol
_atom_site_fract_x
_atom_site_fract_y
_atom_site_fract_z
Hf1 Hf 0.0000 0.0000 0.0000
Zn1 Zn 0.5000 0.5000 0.0000
W1 W 0.0000 0.5000 0.5000
Br1 Br 0.0000 0.0000 0.5000

5.
# SrLaMg2 PBEsol relaxed
# - formation energy from the elements (eV per atom) = -0.064
data_SrLaMg2
_cell_length_a 4.0387
_cell_length_b 4.0387
_cell_length_c 7.9389
_cell_angle_alpha 90.00
_cell_angle_beta 90.00
_cell_angle_gamma 90.00
_symmetry_space_group_name_H-M 'P 4/m m m'
_symmetry_Int_Tables_number 123
_symmetry_space_group_name_Hall '-P 4 2'
loop_
_atom_site_label
_atom_site_type_symbol
_atom_site_fract_x
_atom_site_fract_y
_atom_site_fract_z
Sr1 Sr 0.0000 0.0000 0.0000
La1 La 0.0000 0.0000 0.5000
Mg1 Mg 0.5000 0.5000 0.2719

6.
# Li2HgBr PBEsol relaxed
# - ΔE_f (raw) (eV/atom) = -0.29
data_Li2HgBr
_cell_length_a 7.2205
_cell_length_b 7.2205
_cell_length_c 7.2205
_cell_angle_alpha 90.00
_cell_angle_beta 90.00
_cell_angle_gamma 90.00
_symmetry_space_group_name_H-M 'F -4 3 m'
_symmetry_Int_Tables_number 216
_symmetry_space_group_name_Hall 'F -4 2 3'
loop_
_atom_site_label
_atom_site_type_symbol
_atom_site_fract_x
_atom_site_fract_y
_atom_site_fract_z
Li1 Li 0.0000 0.0000 0.0000
Li2 Li 0.2500 0.2500 0.2500
Hg1 Hg 0.0000 0.0000 0.5000
Br1 Br 0.2500 0.2500 0.7500

7.
# BaTl2Hg PBEsol relaxed
# - formation energy from the elements (eV per atom) = -0.311
# - distance to the lowest polymorph of the same formula (eV/f.u.) = 0.238
data_BaTl2Hg
_cell_length_a 5.5044
_cell_length_b 5.5044
_cell_length_c 7.7747
_cell_angle_alpha 90.00
_cell_angle_beta 90.00
_cell_angle_gamma 90.00
_symmetry_space_group_name_H-M 'I 4/m m m'
_symmetry_Int_Tables_number 139
_symmetry_space_group_name_Hall '-I 4 2'
loop_
_atom_site_label
_atom_site_type_symbol
_atom_site_fract_x
_atom_site_fract_y
_atom_site_fract_z
Ba1 Ba 0.0000 0.0000 0.0000
Tl1 Tl 0.0000 0.5000 0.2500
Hg1 Hg 0.0000 0.0000 0.5000

8.
# MgFe4W PBEsol relaxed
# - formation energy from the elements (eV per atom) = 0.062
data_MgFe4W
_cell_length_a 6.6405
_cell_length_b 6.6405
_cell_length_c 6.6405
_cell_angle_alpha 90.00
_cell_angle_beta 90.00
_cell_angle_gamma 90.00
_symmetry_space_group_name_H-M 'F -4 3 m'
_symmetry_Int_Tables_number 216
_symmetry_space_group_name_Hall 'F -4 2 3'
loop_
_atom_site_label
_atom_site_type_symbol
_atom_site_fract_x
_atom_site_fract_y
_atom_site_fract_z
Mg1 Mg 0.0000 0.0000 0.0000
Fe1 Fe 0.1248 0.1248 0.3752
W1 W 0.2500 0.2500 0.7500

9.
# PrU2S5 PBEsol relaxed
# - ΔE_f (raw) (eV/atom) = -1.60
data_PrU2S5
_cell_length_a 11.4899
_cell_length_b 7.2864
_cell_length_c 7.8693
_cell_angle_alpha 90.00
_cell_angle_beta 90.00
_cell_angle_gamma 90.00
_symmetry_space_group_name_H-M 'P n a 21'
_symmetry_Int_Tables_number 33
loop_
_symmetry_equiv_pos_as_xyz
'x,y,z'
'-x,-y,z+1/2'
'-x+1/2,y+1/2,z+1/2'
'x+1/2,-y+1/2,z'
loop_
_atom_site_label
_atom_site_type_symbol
_atom_site_fract_x
_atom_site_fract_y
_atom_site_fract_z
Pr1 Pr 0.1775 0.0301 0.0000
U1 U 0.0087 0.5764 0.7510
U2 U 0.1787 0.0250 0.5037
S1 S 0.9999 0.0394 0.2536
S2 S 0.0898 0.6768 0.4523
S3 S 0.0978 0.6586 0.0461
S4 S 0.1883 0.3318 0.7505
S5 S 0.2175 0.3021 0.2529

10.
# Li2Ti3O7 PBEsol relaxed
# - ΔE_f (raw) (eV/atom) = -2.80
data_Li2Ti3O7
_cell_length_a 10.2097
_cell_length_b 4.8939
_cell_length_c 10.4132
_cell_angle_alpha 90.00
_cell_angle_beta 91.09
_cell_angle_gamma 90.00
_symmetry_space_group_name_H-M 'C 1 2/c 1'
_symmetry_Int_Tables_number 15
loop_
_symmetry_equiv_pos_as_xyz
'x,y,z'
'-x,-y,-z'
'-x,y,-z+1/2'
'x,-y,z+1/2'
'x+1/2,y+1/2,z'
'-x+1/2,-y+1/2,-z'
'-x+1/2,y+1/2,-z+1/2'
'x+1/2,-y+1/2,z+1/2'
loop_
_atom_site_label
_atom_site_type_symbol
_atom_site_fract_x
_atom_site_fract_y
_atom_site_fract_z
Li1 Li 0.1482 0.1775 0.1840
Ti1 Ti 0.0605 0.3218 0.8960
Ti2 Ti 0.2500 0.2500 0.5000
O1 O 0.0000 0.1252 0.7500
O2 O 0.1050 0.4762 0.5727
O3 O 0.1314 0.0348 0.9809
O4 O 0.1847 0.4373 0.3372

11.
# ZnCrAs2Br PBEsol relaxed
# - ΔE_f (raw) (eV/atom) = 0.80
data_ZnCrAs2Br
_cell_length_a 4.6919
_cell_length_b 4.6919
_cell_length_c 5.2421
_cell_angle_alpha 90.00
_cell_angle_beta 90.00
_cell_angle_gamma 90.00
_symmetry_space_group_name_H-M 'P 4/m m m'
_symmetry_Int_Tables_number 123
_symmetry_space_group_name_Hall '-P 4 2'
loop_
_atom_site_label
_atom_site_type_symbol
_atom_site_fract_x
_atom_site_fract_y
_atom_site_fract_z
Zn1 Zn 0.0000 0.0000 0.0000
Cr1 Cr 0.5000 0.5000 0.5000
As1 As 0.0000 0.5000 0.0000
Br1 Br 0.0000 0.0000 0.5000

12.
# Sr2Li2Ca PBEsol relaxed
# - formation energy from the elements (eV per atom) = 0.136
# - distance to the lowest polymorph of the same formula (eV/f.u.) = 0.573
data_Sr2Li2Ca
_cell_length_a 9.9146
_cell_length_b 9.9146
_cell_length_c 3.8281
_cell_angle_alpha 90.00
_cell_angle_beta 90.00
_cell_angle_gamma 90.00
_symmetry_space_group_name_H-M 'P 4/m b m'
_symmetry_Int_Tables_number 127
_symmetry_space_group_name_Hall '-P 4 2ab'
loop_
_atom_site_label
_atom_site_type_symbol
_atom_site_fract_x
_atom_site_fract_y
_atom_site_fract_z
Sr1 Sr 0.1394 0.3606 0.0000
Li1 Li 0.1576 0.6576 0.5000
Ca1 Ca 0.0000 0.0000 0.0000

13.
# SrY2P PBEsol relaxed
# - formation energy from the elements (eV per atom) = -0.732
data_SrY2P
_cell_length_a 3.8979
_cell_length_b 3.8979
_cell_length_c 29.3273
_cell_angle_alpha 90.00
_cell_angle_beta 90.00
_cell_angle_gamma 120.00
_symmetry_space_group_name_H-M 'R -3 m'
_symmetry_Int_Tables_number 166
_symmetry_space_group_name_Hall '-R 3 2"'
loop_
_atom_site_label
_atom_site_type_symbol
_atom_site_fract_x
_atom_site_fract_y
_atom_site_fract_z
Sr1 Sr 0.0000 0.0000 0.0000
Y1 Y 0.0000 0.0000 0.2187
P1 P 0.0000 0.0000 0.5000

14.
# CaAs2Br PBEsol relaxed
# - distance to the lowest polymorph of the same formula (eV/f.u.) = 0.043
# - ΔE_f (raw) (eV/atom) = -0.68
data_CaAs2Br
_cell_length_a 3.8966
_cell_length_b 3.8966
_cell_length_c 6.0908
_cell_angle_alpha 90.00
_cell_angle_beta 90.00
_cell_angle_gamma 90.00
_symmetry_space_group_name_H-M 'P 4/m m m'
_symmetry_Int_Tables_number 123
_symmetry_space_group_name_Hall '-P 4 2'
loop_
_atom_site_label
_atom_site_type_symbol
_atom_site_fract_x
_atom_site_fract_y
_atom_site_fract_z
Ca1 Ca 0.0000 0.0000 0.0000
As1 As 0.0000 0.5000 0.5000
Br1 Br 0.5000 0.5000 0.0000

15.
# ZnRuW2 PBEsol relaxed
# - formation energy from the elements (eV per atom) = 0.312
data_ZnRuW2
_cell_length_a 3.0464
_cell_length_b 4.3896
_cell_length_c 8.8318
_cell_angle_alpha 90.00
_cell_angle_beta 90.00
_cell_angle_gamma 90.00
_symmetry_space_group_name_H-M 'C m m m'
_symmetry_Int_Tables_number 65
_symmetry_space_group_name_Hall '-C 2 2'
loop_
_atom_site_label
_atom_site_type_symbol
_atom_site_fract_x
_atom_site_fract_y
_atom_site_fract_z
Zn1 Zn 0.0000 0.0000 0.0000
Ru1 Ru 0.0000 0.0000 0.5000
W1 W 0.0000 0.5000 0.2544

16.
# Hf2TcIr PBEsol relaxed
# - formation energy from the elements (eV per atom) = -0.843
data_Hf2TcIr
_cell_length_a 6.4398
_cell_length_b 6.4398
_cell_length_c 6.4398
_cell_angle_alpha 90.00
_cell_angle_beta 90.00
_cell_angle_gamma 90.00
_symmetry_space_group_name_H-M 'F m -3 m'
_symmetry_Int_Tables_number 225
_symmetry_space_group_name_Hall '-F 4 2 3'
loop_
_atom_site_label
_atom_site_type_symbol
_atom_site_fract_x
_atom_site_fract_y
_atom_site_fract_z
Hf1 Hf 0.2500 0.2500 0.2500
Tc1 Tc 0.0000 0.0000 0.0000
Ir1 Ir 0.0000 0.0000 0.5000

17.
# Zn2WBr PBEsol relaxed
# - distance to the lowest polymorph of the same formula (eV/f.u.) = 1.523
# - ΔE_f (raw) (eV/atom) = 0.76
data_Zn2WBr
_cell_length_a 2.8977
_cell_length_b 4.5026
_cell_length_c 4.9673
_cell_angle_alpha 90.00
_cell_angle_beta 90.00
_cell_angle_gamma 90.00
_symmetry_space_group_name_H-M 'P m m m'
_symmetry_Int_Tables_number 47
loop_
_symmetry_equiv_pos_as_xyz
'x,y,z'
'-x,-y,-z'
'-x,-y,z'
'x,y,-z'
'x,-y,-z'
'-x,y,z'
'-x,y,-z'
'x,-y,z'
loop_
_atom_site_label
_atom_site_type_symbol
_atom_site_fract_x
_atom_site_fract_y
_atom_site_fract_z
Zn1 Zn 0.0000 0.0000 0.0000
Zn2 Zn 0.5000 0.5000 0.0000
W1 W 0.0000 0.5000 0.5000
Br1 Br 0.5000 0.0000 0.5000

18.
# CoPIr2 PBEsol relaxed
# - formation energy from the elements (eV per atom) = 0.141
data_CoPIr2
_cell_length_a 5.8655
_cell_length_b 5.8655
_cell_length_c 5.8655
_cell_angle_alpha 90.00
_cell_angle_beta 90.00
_cell_angle_gamma 90.00
_symmetry_space_group_name_H-M 'F m -3 m'
_symmetry_Int_Tables_number 225
_symmetry_space_group_name_Hall '-F 4 2 3'
loop_
_atom_site_label
_atom_site_type_symbol
_atom_site_fract_x
_atom_site_fract_y
_atom_site_fract_z
Co1 Co 0.0000 0.0000 0.0000
P1 P 0.0000 0.0000 0.5000
Ir1 Ir 0.2500 0.2500 0.2500

19.
# MgV2O4 PBEsol relaxed
# - distance to the lowest polymorph of the same formula (eV/f.u.) = 0.480
# - ΔE_f (raw) (eV/atom) = -2.33
data_MgV2O4
_cell_length_a 5.7879
_cell_length_b 5.9530
_cell_length_c 8.4412
_cell_angle_alpha 90.00
_cell_angle_beta 90.00
_cell_angle_gamma 90.00
_symmetry_space_group_name_H-M 'I m m a'
_symmetry_Int_Tables_number 74
_symmetry_space_group_name_Hall '-I 2b 2'
loop_
_atom_site_label
_atom_site_type_symbol
_atom_site_fract_x
_atom_site_fract_y
_atom_site_fract_z
Mg1 Mg 0.0000 0.0000 0.0000
V1 V 0.0000 0.2500 0.3770
V2 V 0.2500 0.2500 0.7500
O1 O 0.0000 0.0100 0.7516
O2 O 0.2453 0.2500 0.9872

20.
# ZrZn3Te PBEsol relaxed
# - ΔE_f (raw) (eV/atom) = 1.02
data_ZrZn3Te
_cell_length_a 4.9484
_cell_length_b 4.9484
_cell_length_c 4.9484
_cell_angle_alpha 90.00
_cell_angle_beta 90.00
_cell_angle_gamma 90.00
_symmetry_space_group_name_H-M 'P m -3 m'
_symmetry_Int_Tables_number 221
_symmetry_space_group_name_Hall '-P 4 2 3'
loop_
_atom_site_label
_atom_site_type_symbol
_atom_site_fract_x
_atom_site_fract_y
_atom_site_fract_z
Zr1 Zr 0.0000 0.0000 0.0000
Zn1 Zn 0.0000 0.5000 0.5000
Te1 Te 0.5000 0.5000 0.5000

21.
# TlSb2Pb PBEsol relaxed
# - ΔE_f (raw) (eV/atom) = 0.07
data_TlSb2Pb
_cell_length_a 4.6970
_cell_length_b 4.7151
_cell_length_c 10.1444
_cell_angle_alpha 90.00
_cell_angle_beta 90.00
_cell_angle_gamma 90.00
_symmetry_space_group_name_H-M 'I m m m'
_symmetry_Int_Tables_number 71
_symmetry_space_group_name_Hall '-I 2 2'
loop_
_atom_site_label
_atom_site_type_symbol
_atom_site_fract_x
_atom_site_fract_y
_atom_site_fract_z
Tl1 Tl 0.0000 0.0000 0.0000
Sb1 Sb 0.0000 0.5000 0.2500
Pb1 Pb 0.0000 0.0000 0.5000

22.
# LaSc2Ir PBEsol relaxed
# - formation energy from the elements (eV per atom) = -0.078
# - distance to the lowest polymorph of the same formula (eV/f.u.) = 1.270
data_LaSc2Ir
_cell_length_a 5.8626
_cell_length_b 9.1930
_cell_length_c 3.1468
_cell_angle_alpha 90.00
_cell_angle_beta 106.43
_cell_angle_gamma 90.00
_symmetry_space_group_name_H-M 'C 1 2/m 1'
_symmetry_Int_Tables_number 12
loop_
_symmetry_equiv_pos_as_xyz
'x,y,z'
'-x,-y,-z'
'-x,y,-z'
'x,-y,z'
'x+1/2,y+1/2,z'
'-x+1/2,-y+1/2,-z'
'-x+1/2,y+1/2,-z'
'x+1/2,-y+1/2,z'
loop_
_atom_site_label
_atom_site_type_symbol
_atom_site_fract_x
_atom_site_fract_y
_atom_site_fract_z
La1 La 0.0000 0.0000 0.0000
Sc1 Sc 0.2500 0.2500 0.5000
Ir1 Ir 0.0000 0.5000 0.0000

23.
# HoOs2 PBEsol relaxed
# - formation energy from the elements (eV per atom) = -0.322
data_HoOs2
_cell_length_a 5.2369
_cell_length_b 5.2369
_cell_length_c 8.7724
_cell_angle_alpha 90.00
_cell_angle_beta 90.00
_cell_angle_gamma 120.00
_symmetry_space_group_name_H-M 'P 63/m m c'
_symmetry_Int_Tables_number 194
_symmetry_space_group_name_Hall '-P 6c 2c'
loop_
_atom_site_label
_atom_site_type_symbol
_atom_site_fract_x
_atom_site_fract_y
_atom_site_fract_z
Ho1 Ho 0.3333 0.6667 0.0653
Os1 Os 0.0000 0.0000 0.0000
Os2 Os 0.1712 0.3425 0.7500

24.
# KCrSb2 PBEsol relaxed
# - distance to the lowest polymorph of the same formula (eV/f.u.) = 1.141
# - ΔE_f (raw) (eV/atom) = 0.33
data_KCrSb2
_cell_length_a 6.5517
_cell_length_b 9.3455
_cell_length_c 3.2536
_cell_angle_alpha 90.00
_cell_angle_beta 90.00
_cell_angle_gamma 90.00
_symmetry_space_group_name_H-M 'C m m m'
_symmetry_Int_Tables_number 65
_symmetry_space_group_name_Hall '-C 2 2'
loop_
_atom_site_label
_atom_site_type_symbol
_atom_site_fract_x
_atom_site_fract_y
_atom_site_fract_z
K1 K 0.0000 0.0000 0.0000
Cr1 Cr 0.0000 0.5000 0.0000
Sb1 Sb 0.2500 0.2500 0.5000

25.
# LuGaAu PBEsol relaxed
# - formation energy from the elements (eV per atom) = -0.823
data_LuGaAu
_cell_length_a 10.1715
_cell_length_b 4.3851
_cell_length_c 6.8288
_cell_angle_alpha 90.00
_cell_angle_beta 131.24
_cell_angle_gamma 90.00
_symmetry_space_group_name_H-M 'C 1 2/m 1'
_symmetry_Int_Tables_number 12
loop_
_symmetry_equiv_pos_as_xyz
'x,y,z'
'-x,-y,-z'
'-x,y,-z'
'x,-y,z'
'x+1/2,y+1/2,z'
'-x+1/2,-y+1/2,-z'
'-x+1/2,y+1/2,-z'
'x+1/2,-y+1/2,z'
loop_
_atom_site_label
_atom_site_type_symbol
_atom_site_fract_x
_atom_site_fract_y
_atom_site_fract_z
Lu1 Lu 0.0377 0.0000 0.2973
Ga1 Ga 0.1581 0.5000 0.1058
Au1 Au 0.1762 0.5000 0.7127

26.
# Fe2ReNi PBEsol relaxed
# - formation energy from the elements (eV per atom) = 0.006
data_Fe2ReNi
_cell_length_a 3.5857
_cell_length_b 3.5857
_cell_length_c 7.0296
_cell_angle_alpha 90.00
_cell_angle_beta 90.00
_cell_angle_gamma 90.00
_symmetry_space_group_name_H-M 'I 4/m m m'
_symmetry_Int_Tables_number 139
_symmetry_space_group_name_Hall '-I 4 2'
loop_
_atom_site_label
_atom_site_type_symbol
_atom_site_fract_x
_atom_site_fract_y
_atom_site_fract_z
Fe1 Fe 0.0000 0.5000 0.2500
Re1 Re 0.0000 0.0000 0.0000
Ni1 Ni 0.0000 0.0000 0.5000